[1]
First-principles (GGA-PBE) data for a relaxed structure of ScCoHgB, as listed in OQMD via LeMat-Bulk.

Geometry as CIF:
```
data_ScCoHgB
_chemical_formula_sum 'Sc4 Co4 Hg4 B4'
_space_group_name_H-M_alt 'F -4 3 m'
_space_group_IT_number 216
_space_group_name_Hall 'F -4 2 3'
_cell_length_a 6.1557
_cell_length_b 6.1557
_cell_length_c 6.1557
_cell_angle_alpha 90.00
_cell_angle_beta 90.00
_cell_angle_gamma 90.00
loop_
_atom_site_label
_atom_site_type_symbol
_atom_site_fract_x
_atom_site_fract_y
_atom_site_fract_z
_atom_site_occupancy
Sc1 Sc 0.0000 0.0000 0.0000 1
Co1 Co 0.0000 0.0000 0.5000 1
Hg1 Hg 0.2500 0.2500 0.7500 1
B1 B 0.2500 0.2500 0.2500 1
```

Results
- Crystal system: cubic
- Relative energy among the computed polymorphs: 0.0000 eV/atom


[2]
First-principles (GGA-PBE) data for a relaxed structure of ScCoHgB, as listed in OQMD via LeMat-Bulk.

Geometry as CIF:
```
data_ScCoHgB
_chemical_formula_sum 'Sc4 Co4 Hg4 B4'
_space_group_name_H-M_alt 'F -4 3 m'
_space_group_IT_number 216
_space_group_name_Hall 'F -4 2 3'
_cell_length_a 6.1469
_cell_length_b 6.1469
_cell_length_c 6.1469
_cell_angle_alpha 90.00
_cell_angle_beta 90.00
_cell_angle_gamma 90.00
loop_
_atom_site_label
_atom_site_type_symbol
_atom_site_fract_x
_atom_site_fract_y
_atom_site_fract_z
_atom_site_occupancy
Sc1 Sc 0.0000 0.0000 0.0000 1
Co1 Co 0.2500 0.2500 0.7500 1
Hg1 Hg 0.2500 0.2500 0.2500 1
B1 B 0.0000 0.0000 0.5000 1
```

Results
- Crystal system: cubic
- Relative energy among the computed polymorphs: 0.2062 eV/atom


[3]
First-principles (GGA-PBE) data for a relaxed structure of CoTcHgB, as listed in OQMD via LeMat-Bulk.

Geometry as CIF:
```
data_CoTcHgB
_chemical_formula_sum 'Co4 Tc4 Hg4 B4'
_space_group_name_H-M_alt 'F -4 3 m'
_space_group_IT_number 216
_space_group_name_Hall 'F -4 2 3'
_cell_length_a 6.0510
_cell_length_b 6.0510
_cell_length_c 6.0510
_cell_angle_alpha 90.00
_cell_angle_beta 90.00
_cell_angle_gamma 90.00
loop_
_atom_site_label
_atom_site_type_symbol
_atom_site_fract_x
_atom_site_fract_y
_atom_site_fract_z
_atom_site_occupancy
Co1 Co 0.0000 0.0000 0.0000 1
Tc1 Tc 0.2500 0.2500 0.2500 1
Hg1 Hg 0.0000 0.0000 0.5000 1
B1 B 0.2500 0.2500 0.7500 1
```

Results
- Crystal system: cubic
- Relative energy among the computed polymorphs: 0.2887 eV/atom


[4]
First-principles (GGA-PBE) data for a relaxed structure of CoTcHgB, as listed in OQMD via LeMat-Bulk.

Geometry as CIF:
```
data_CoTcHgB
_chemical_formula_sum 'Co4 Tc4 Hg4 B4'
_space_group_name_H-M_alt 'F -4 3 m'
_space_group_IT_number 216
_space_group_name_Hall 'F -4 2 3'
_cell_length_a 5.9561
_cell_length_b 5.9561
_cell_length_c 5.9561
_cell_angle_alpha 90.00
_cell_angle_beta 90.00
_cell_angle_gamma 90.00
loop_
_atom_site_label
_atom_site_type_symbol
_atom_site_fract_x
_atom_site_fract_y
_atom_site_fract_z
_atom_site_occupancy
Co1 Co 0.0000 0.0000 0.0000 1
Tc1 Tc 0.0000 0.0000 0.5000 1
Hg1 Hg 0.2500 0.2500 0.2500 1
B1 B 0.2500 0.2500 0.7500 1
```

Results
- Crystal system: cubic
- Relative energy among the computed polymorphs: 0.0000 eV/atom


[5]
First-principles (GGA-PBE) data for a relaxed structure of CoHgBW, as listed in OQMD via LeMat-Bulk.

Geometry as CIF:
```
data_CoHgBW
_chemical_formula_sum 'Co4 Hg4 B4 W4'
_space_group_name_H-M_alt 'F -4 3 m'
_space_group_IT_number 216
_space_group_name_Hall 'F -4 2 3'
_cell_length_a 6.0172
_cell_length_b 6.0172
_cell_length_c 6.0172
_cell_angle_alpha 90.00
_cell_angle_beta 90.00
_cell_angle_gamma 90.00
loop_
_atom_site_label
_atom_site_type_symbol
_atom_site_fract_x
_atom_site_fract_y
_atom_site_fract_z
_atom_site_occupancy
Co1 Co 0.0000 0.0000 0.0000 1
Hg1 Hg 0.2500 0.2500 0.2500 1
B1 B 0.2500 0.2500 0.7500 1
W1 W 0.0000 0.0000 0.5000 1
```

Results
- Crystal system: cubic
- Relative energy among the computed polymorphs: 0.0000 eV/atom


[6]
First-principles (GGA-PBE) data for a relaxed structure of CoHgBW, as listed in OQMD via LeMat-Bulk.

Geometry as CIF:
```
data_CoHgBW
_chemical_formula_sum 'Co4 Hg4 B4 W4'
_space_group_name_H-M_alt 'F -4 3 m'
_space_group_IT_number 216
_space_group_name_Hall 'F -4 2 3'
_cell_length_a 6.0861
_cell_length_b 6.0861
_cell_length_c 6.0861
_cell_angle_alpha 90.00
_cell_angle_beta 90.00
_cell_angle_gamma 90.00
loop_
_atom_site_label
_atom_site_type_symbol
_atom_site_fract_x
_atom_site_fract_y
_atom_site_fract_z
_atom_site_occupancy
Co1 Co 0.0000 0.0000 0.0000 1
Hg1 Hg 0.0000 0.0000 0.5000 1
B1 B 0.2500 0.2500 0.7500 1
W1 W 0.2500 0.2500 0.2500 1
```

Results
- Crystal system: cubic
- Relative energy among the computed polymorphs: 0.2842 eV/atom


[7]
First-principles (GGA-PBE) data for a relaxed structure of ZnCoHgB, as listed in OQMD via LeMat-Bulk.

Geometry as CIF:
```
data_ZnCoHgB
_chemical_formula_sum 'Zn4 Co4 Hg4 B4'
_space_group_name_H-M_alt 'F -4 3 m'
_space_group_IT_number 216
_space_group_name_Hall 'F -4 2 3'
_cell_length_a 5.9222
_cell_length_b 5.9222
_cell_length_c 5.9222
_cell_angle_alpha 90.00
_cell_angle_beta 90.00
_cell_angle_gamma 90.00
loop_
_atom_site_label
_atom_site_type_symbol
_atom_site_fract_x
_atom_site_fract_y
_atom_site_fract_z
_atom_site_occupancy
Zn1 Zn 0.0000 0.0000 0.0000 1
Co1 Co 0.2500 0.2500 0.7500 1
Hg1 Hg 0.2500 0.2500 0.2500 1
B1 B 0.0000 0.0000 0.5000 1
```

Results
- Crystal system: cubic
- Relative energy among the computed polymorphs: 0.0000 eV/atom


[8]
First-principles (GGA-PBE) data for a relaxed structure of ZnCoHgB, as listed in OQMD via LeMat-Bulk.

Geometry as CIF:
```
data_ZnCoHgB
_chemical_formula_sum 'Zn4 Co4 Hg4 B4'
_space_group_name_H-M_alt 'F -4 3 m'
_space_group_IT_number 216
_space_group_name_Hall 'F -4 2 3'
_cell_length_a 6.0094
_cell_length_b 6.0094
_cell_length_c 6.0094
_cell_angle_alpha 90.00
_cell_angle_beta 90.00
_cell_angle_gamma 90.00
loop_
_atom_site_label
_atom_site_type_symbol
_atom_site_fract_x
_atom_site_fract_y
_atom_site_fract_z
_atom_site_occupancy
Zn1 Zn 0.0000 0.0000 0.0000 1
Co1 Co 0.0000 0.0000 0.5000 1
Hg1 Hg 0.2500 0.2500 0.7500 1
B1 B 0.2500 0.2500 0.2500 1
```

Results
- Crystal system: cubic
- Relative energy among the computed polymorphs: 0.0290 eV/atom


[9]
First-principles (GGA-PBE) data for a relaxed structure of ZrCoHgB, as listed in OQMD via LeMat-Bulk.

Geometry as CIF:
```
data_ZrCoHgB
_chemical_formula_sum 'Zr4 Co4 Hg4 B4'
_space_group_name_H-M_alt 'F -4 3 m'
_space_group_IT_number 216
_space_group_name_Hall 'F -4 2 3'
_cell_length_a 6.2280
_cell_length_b 6.2280
_cell_length_c 6.2280
_cell_angle_alpha 90.00
_cell_angle_beta 90.00
_cell_angle_gamma 90.00
loop_
_atom_site_label
_atom_site_type_symbol
_atom_site_fract_x
_atom_site_fract_y
_atom_site_fract_z
_atom_site_occupancy
Zr1 Zr 0.0000 0.0000 0.0000 1
Co1 Co 0.0000 0.0000 0.5000 1
Hg1 Hg 0.2500 0.2500 0.7500 1
B1 B 0.2500 0.2500 0.2500 1
```

Results
- Crystal system: cubic
- Relative energy among the computed polymorphs: 0.0000 eV/atom


[10]
First-principles (GGA-PBE) data for a relaxed structure of ZrCoHgB, as listed in OQMD via LeMat-Bulk.

Geometry as CIF:
```
data_ZrCoHgB
_chemical_formula_sum 'Zr4 Co4 Hg4 B4'
_space_group_name_H-M_alt 'F -4 3 m'
_space_group_IT_number 216
_space_group_name_Hall 'F -4 2 3'
_cell_length_a 6.2450
_cell_length_b 6.2450
_cell_length_c 6.2450
_cell_angle_alpha 90.00
_cell_angle_beta 90.00
_cell_angle_gamma 90.00
loop_
_atom_site_label
_atom_site_type_symbol
_atom_site_fract_x
_atom_site_fract_y
_atom_site_fract_z
_atom_site_occupancy
Zr1 Zr 0.0000 0.0000 0.0000 1
Co1 Co 0.2500 0.2500 0.7500 1
Hg1 Hg 0.2500 0.2500 0.2500 1
B1 B 0.0000 0.0000 0.5000 1
```

Results
- Crystal system: cubic
- Relative energy among the computed polymorphs: 0.2493 eV/atom


[11]
First-principles (GGA-PBE) data for a relaxed structure of HoCo4B3, as listed in OQMD via LeMat-Bulk.

Geometry as CIF:
```
data_HoCo4B3
_chemical_formula_sum 'Ho1 Co4 B3'
_space_group_name_H-M_alt 'P 1 m 1'
_space_group_IT_number 6
_space_group_name_Hall 'P -2y'
_cell_length_a 4.7053
_cell_length_b 3.1980
_cell_length_c 6.5011
_cell_angle_alpha 90.00
_cell_angle_beta 103.25
_cell_angle_gamma 90.00
loop_
_atom_site_label
_atom_site_type_symbol
_atom_site_fract_x
_atom_site_fract_y
_atom_site_fract_z
_atom_site_occupancy
Ho1 Ho 0.0000 0.0000 0.0000 1
Co1 Co 0.2406 0.0000 0.6294 1
Co2 Co 0.3398 0.5000 0.3436 1
Co3 Co 0.7145 0.0000 0.5665 1
Co4 Co 0.8154 0.5000 0.2847 1
B1 B 0.5237 0.5000 0.6624 1
B2 B 0.5525 0.0000 0.2525 1
B3 B 0.9814 0.5000 0.6110 1
```

Results
- Crystal system: monoclinic
- Raw total energy: -53.38 eV/f.u.


[12]
First-principles (GGA-PBE) data for a relaxed structure of Ho2Co7B3, as listed in OQMD via LeMat-Bulk.

Geometry as CIF:
```
data_Ho2Co7B3
_chemical_formula_sum 'Ho4 Co14 B6'
_space_group_name_H-M_alt 'P 6/m m m'
_space_group_IT_number 191
_space_group_name_Hall '-P 6 2'
_cell_length_a 5.0029
_cell_length_b 5.0029
_cell_length_c 12.7825
_cell_angle_alpha 90.00
_cell_angle_beta 90.00
_cell_angle_gamma 120.00
loop_
_atom_site_label
_atom_site_type_symbol
_atom_site_fract_x
_atom_site_fract_y
_atom_site_fract_z
_atom_site_occupancy
Ho1 Ho 0.0000 0.0000 0.0000 1
Ho2 Ho 0.0000 0.0000 0.2390 1
Ho3 Ho 0.0000 0.0000 0.5000 1
Co1 Co 0.0000 0.5000 0.1159 1
Co2 Co 0.0000 0.5000 0.3454 1
Co3 Co 0.3333 0.6667 0.5000 1
B1 B 0.3333 0.6667 0.0000 1
B2 B 0.3333 0.6667 0.2317 1
```

Results
- Crystal system: hexagonal
- Raw total energy: -83.86 eV/f.u.